The following is a PBE-GGA calculation of a relaxed Pr4CoCuI2 crystal, from the Alexandria database.

Results
Spin magnetization = 0.000 μB per atom
Formation energy (no corrections) = -0.548 eV per atom
Energy = -37.81 eV per cell
V = 248.0 Å³ per cell

a b c (Å): 7.2461 4.2117 8.4728
angles (deg): 90.00 106.44 90.00
Closest atoms and distances in Å follow each position.
Space group P2/m (No. 10)
Symmetry-distinct sites (fractional):
Pr 0.2199 0.0000 0.1849 (multiplicity 2)  2 Co 2.83, 1 Cu 2.89
Pr 0.2495 0.5000 0.8137 (multiplicity 2)  1 Co 2.72, 2 Cu 2.93
Co 0.0000 0.5000 0.0000 (multiplicity 1)  6 Pr 2.72-2.83
Cu 0.5000 0.0000 0.0000 (multiplicity 1)  6 Pr 2.89-2.93
I 0.0000 0.0000 0.5000 (multiplicity 1)  6 Pr 3.47
I 0.5000 0.5000 0.5000 (multiplicity 1)  6 Pr 3.55-3.62